P) Below is an optimized crystal structure of LiCeAg2, with properties calculated at the PBE-GGA level.

Results
total magnetic moment	0.6	Bohr magnetons per cell

Lattice parameters (Å, degrees): 3.197 3.197 7.735 90.00 90.00 90.00
Element x y z (fractional)
Li: 0.000 0.000 0.000
Ce: 0.000 0.000 0.500
Ag: 0.500 0.500 0.198
Ag: 0.500 0.500 0.802

=====

Q) Below is an optimized crystal structure of LiCeAg2, with properties calculated at the PBE-GGA level.

Results
total magnetic moment	1.3	Bohr magnetons per cell

Lattice parameters (Å, degrees): 5.294 5.294 3.185 90.00 90.00 90.00
Element x y z (fractional)
Li: 0.000 0.000 0.000
Ce: 0.500 0.500 0.000
Ag: 0.000 0.500 0.500
Ag: 0.500 0.000 0.500

=====

Stability, highest: P)

=====

P) Below is an optimized crystal structure of LiCe2Ag, with properties calculated at the PBE-GGA level.

Results
total magnetic moment	0.0	Bohr magnetons per cell

Lattice parameters (Å, degrees): 3.013 3.013 35.624 90.00 90.00 120.00
Element x y z (fractional)
Li: 0.000 0.000 0.000
Li: 0.333 0.667 0.667
Li: 0.667 0.333 0.333
Ce: 0.000 0.000 0.088
Ce: 0.000 0.000 0.912
Ce: 0.333 0.667 0.578
Ce: 0.333 0.667 0.755
Ce: 0.667 0.333 0.245
Ce: 0.667 0.333 0.422
Ag: 0.000 0.000 0.500
Ag: 0.333 0.667 0.167
Ag: 0.667 0.333 0.833

=====

Q) Below is an optimized crystal structure of LiCe2Ag, with properties calculated at the PBE-GGA level.

Results
total magnetic moment	1.8	Bohr magnetons per cell

Lattice parameters (Å, degrees): 3.855 3.855 6.500 90.00 90.00 90.00
Element x y z (fractional)
Li: 0.000 0.000 0.000
Ce: 0.500 0.500 0.218
Ce: 0.500 0.500 0.782
Ag: 0.000 0.000 0.500

=====

Stability, highest: Q)